The following is a DFT calculation (PBE with a Hubbard U) of Mn2H8S3N2O12 after structural relaxation.

Geometry as POSCAR:
```
Mn2H8S3N2O12
1.0
10.334 0.000 0.000
0.000 10.334 0.000
0.000 0.000 10.334
Mn H S N O
8 32 12 8 48
Cartesian
6.025 4.309 9.476 Mn
6.772 8.729 1.605 Mn
8.729 1.605 6.772 Mn
9.476 6.025 4.309 Mn
0.858 0.858 0.858 Mn
1.605 6.772 8.729 Mn
3.562 3.562 3.562 Mn
4.309 9.476 6.025 Mn
5.318 5.318 5.318 H
5.516 5.959 6.873 H
5.959 6.873 5.516 H
6.873 5.516 5.959 H
6.830 1.663 3.504 H
6.998 2.337 1.971 H
7.504 3.196 3.336 H
7.138 8.503 7.996 H
8.363 1.831 2.829 H
7.996 7.138 8.503 H
8.503 7.996 7.138 H
8.671 8.671 8.671 H
8.628 4.818 0.792 H
9.542 3.461 0.349 H
9.985 4.375 1.706 H
10.183 5.016 0.151 H
0.151 10.183 5.016 H
0.349 9.542 3.461 H
0.792 8.628 4.818 H
1.706 9.985 4.375 H
1.663 3.504 6.830 H
1.831 2.829 8.363 H
2.337 1.971 6.998 H
1.971 6.998 2.337 H
3.196 3.336 7.504 H
2.829 8.363 1.831 H
3.336 7.504 3.196 H
3.504 6.830 1.663 H
3.461 0.349 9.542 H
4.375 1.706 9.985 H
4.818 0.792 8.628 H
5.016 0.151 10.183 H
5.493 2.449 6.454 S
6.454 5.493 2.449 S
7.616 9.047 4.841 S
7.885 1.287 10.008 S
9.047 4.841 7.616 S
10.008 7.885 1.287 S
0.326 2.718 3.880 S
1.287 10.008 7.885 S
2.449 6.454 5.493 S
2.718 3.880 0.326 S
3.880 0.326 2.718 S
4.841 7.616 9.047 S
5.911 5.911 5.911 N
7.421 2.254 2.913 N
8.080 8.080 8.080 N
9.589 4.422 0.744 N
0.744 9.589 4.422 N
2.254 2.913 7.421 N
2.913 7.421 2.254 N
4.422 0.744 9.589 N
5.195 6.200 8.714 O
5.243 3.280 7.676 O
5.378 4.620 2.961 O
5.714 8.128 10.123 O
6.030 6.912 2.546 O
6.200 8.714 5.195 O
6.787 5.139 1.034 O
6.912 2.546 6.030 O
7.054 2.509 10.258 O
7.373 0.211 0.547 O
7.676 5.243 3.280 O
7.713 9.471 3.422 O
7.788 0.863 8.589 O
7.825 5.091 8.447 O
8.128 10.123 5.714 O
8.447 7.825 5.091 O
8.589 7.788 0.863 O
8.714 5.195 6.200 O
9.300 1.620 0.028 O
9.471 3.422 7.713 O
9.787 2.206 4.956 O
10.123 5.714 8.128 O
10.258 7.054 2.509 O
10.306 4.133 3.547 O
0.028 9.300 1.620 O
0.076 1.887 2.658 O
0.211 0.547 7.373 O
0.547 7.373 0.211 O
0.863 8.589 7.788 O
1.034 6.787 5.139 O
1.620 0.028 9.300 O
1.745 2.621 4.304 O
1.887 2.658 0.076 O
2.206 4.956 9.787 O
2.509 10.258 7.054 O
2.546 6.030 6.912 O
2.621 4.304 1.745 O
2.658 0.076 1.887 O
2.961 5.378 4.620 O
3.280 7.676 5.243 O
3.422 7.713 9.471 O
3.547 10.306 4.133 O
4.133 3.547 10.306 O
4.304 1.745 2.621 O
4.620 2.961 5.378 O
4.956 9.787 2.206 O
5.091 8.447 7.825 O
5.139 1.034 6.787 O
```

Values from the calculation:
**E**: -0.44220 Ry/atom
**Space group**: No. 198
**M_tot**: 10.0 μB per formula unit